Entry 1:
Computed, not measured: an optimized crystal structure of PmTmBi2 at the PBE-GGA level of DFT.

Calculated values
- DFT total energy: -5.024 eV per atom
- Crystal system: hexagonal
- Theoretical density: 9306 kg/m³
- ΔE_f: -778 meV per atom
- Energy above the most stable polymorph in this dataset: 80 meV per atom

```
PmTmBi2
1.0
4.495 0.000 0.000
-2.247 3.893 0.000
0.000 0.000 14.928
Pm Tm Bi
2 2 4
direct
0.000 0.000 0.000
0.000 0.000 0.500
0.333 0.667 0.250
0.667 0.333 0.750
0.333 0.667 0.627
0.333 0.667 0.873
0.667 0.333 0.127
0.667 0.333 0.373
```

Entry 2:
Computed, not measured: an optimized crystal structure of Pm2Zn2GaPt5 at the PBE-GGA level of DFT.

Calculated values
- DFT total energy: -5.317 eV per atom
- Crystal system: tetragonal
- Theoretical density: 13476 kg/m³
- ΔE_f: -789 meV per atom

```
Pm2Zn2GaPt5
1.0
9.790 0.000 0.000
0.000 9.790 0.000
0.000 0.000 3.769
Pm Zn Ga Pt
4 4 2 10
direct
0.177 0.323 0.000
0.323 0.823 0.000
0.677 0.177 0.000
0.823 0.677 0.000
0.122 0.622 0.000
0.378 0.122 0.000
0.622 0.878 0.000
0.878 0.378 0.000
0.000 0.000 0.000
0.500 0.500 0.000
0.000 0.500 0.500
0.060 0.797 0.500
0.203 0.060 0.500
0.297 0.560 0.500
0.440 0.297 0.500
0.500 0.000 0.500
0.560 0.703 0.500
0.703 0.440 0.500
0.797 0.940 0.500
0.940 0.203 0.500
```